Here is a relaxed LiTlAu crystal from Alexandria. Energies are from PBE.

## Properties
- ΔE_f: -0.303 eV per atom
- D(E_F): 0.143 states/eV/atom
- Spin magnetization: 0.0 Bohr magnetons per cell
- Crystal system: tetragonal
- Total DFT energy (no corrections): -0.104 hartree per atom

Cell: 3.5915 3.5915 9.1722 Å, 90.00 90.00 90.00°
Space group I4mm (No. 107)
Inequivalent atoms, fractional coordinates:
Li 0.0000 0.0000 0.0000 [2 per cell]
Tl 0.0000 0.0000 0.6834 [2 per cell]
Au 0.0000 0.0000 0.3645 [2 per cell]


Here is a relaxed AsRhCl2 crystal from Alexandria. Energies are from PBE.

## Properties
- D(E_F): 0.492 states/eV/atom
- Spin magnetization: 2.2 Bohr magnetons per cell
- Crystal system: orthorhombic
- Total DFT energy (no corrections): -0.144 hartree per atom

Cell: 3.3113 4.1151 13.9875 Å, 90.00 90.00 90.00°
Space group Immm (No. 71)
Inequivalent atoms, fractional coordinates:
As 0.0000 0.0000 0.0000 [2 per cell]
Rh 0.0000 0.0000 0.5000 [2 per cell]
Cl 0.0000 0.5000 0.1426 [4 per cell]


Here is a relaxed Fe4Ir crystal from Alexandria. Energies are from PBE.

## Properties
- ΔE_f: -0.040 eV per atom
- D(E_F): 0.835 states/eV/atom
- Spin magnetization: 21.9 Bohr magnetons per cell
- Crystal system: tetragonal
- Total DFT energy (no corrections): -0.315 hartree per atom

Cell: 6.5555 6.5555 2.8930 Å, 90.00 90.00 90.00°
Space group I4/m (No. 87)
Inequivalent atoms, fractional coordinates:
Fe 0.1040 0.3076 0.0000 [8 per cell]
Ir 0.0000 0.0000 0.5000 [2 per cell]


Here is a relaxed LaOsBr2 crystal from Alexandria. Energies are from PBE.

## Properties
- D(E_F): 0.838 states/eV/atom
- Spin magnetization: 3.3 Bohr magnetons per cell
- Crystal system: trigonal
- Total DFT energy (no corrections): -0.172 hartree per atom

Cell: 3.4413 3.4413 28.3945 Å, 90.00 90.00 120.00°
Space group R-3m (No. 166, hexagonal axes)
Inequivalent atoms, fractional coordinates:
La 0.0000 0.0000 0.0000 [3 per cell]
Os 0.0000 0.0000 0.5000 [3 per cell]
Br 0.0000 0.0000 0.4139 [6 per cell]